{
  "formula": "LuNbZnOs",
  "functional": "PBE-GGA",
  "state": "optimized geometry",
  "cell": [[0.000, 3.289, 3.289], [3.289, 0.000, 3.289], [3.289, 3.289, 0.000]],
  "species": ["Lu", "Nb", "Zn", "Os"],
  "fractional_positions": [[0.000, 0.000, 0.000], [0.500, 0.500, 0.500], [0.250, 0.250, 0.250], [0.750, 0.750, 0.750]],
  "e_tot_ev_per_cell": -27.78,
  "n_ef_per_ev_fu": 2.6,
  "crystal_system": "cubic",
  "magnetic_moment_mub_per_fu": 0.0
}